#one
Crystalline Co2C at its relaxed geometry, computed with GGA-PBE.

Results
**D(E_F)**: 3.43 states/eV/f.u.

abc: 4.7323 4.7323 4.7323
angles: 90.00 90.00 90.00
Positions (direct):
Co (0.1609, 0.1609, 0.1609)
Co (0.1609, 0.3391, 0.6609)
Co (0.3391, 0.6609, 0.1609)
Co (0.3391, 0.8391, 0.6609)
Co (0.6609, 0.1609, 0.3391)
Co (0.6609, 0.3391, 0.8391)
Co (0.8391, 0.6609, 0.3391)
Co (0.8391, 0.8391, 0.8391)
C (0.0000, 0.0000, 0.5000)
C (0.0000, 0.5000, 0.0000)
C (0.5000, 0.0000, 0.0000)
C (0.5000, 0.5000, 0.5000)

#two
Crystalline Co2C at its relaxed geometry, computed with GGA-PBE.

Results
**D(E_F)**: 3.60 states/eV/f.u.

abc: 4.8403 4.8403 8.1707
angles: 90.00 90.00 120.00
Positions (direct):
Co (0.0000, 0.0000, 0.0000)
Co (0.0000, 0.0000, 0.5000)
Co (0.1626, 0.3252, 0.2500)
Co (0.1626, 0.8374, 0.2500)
Co (0.3252, 0.1626, 0.7500)
Co (0.6748, 0.8374, 0.2500)
Co (0.8374, 0.1626, 0.7500)
Co (0.8374, 0.6748, 0.7500)
C (0.3333, 0.6667, 0.1148)
C (0.3333, 0.6667, 0.3852)
C (0.6667, 0.3333, 0.6148)
C (0.6667, 0.3333, 0.8852)

Relative energies, unit eV/atom: #one 0.000; #two 1.222

#one
Crystalline Co2C at its relaxed geometry, computed with GGA-PBE.

Results
**D(E_F)**: 3.12 states/eV/f.u.

abc: 3.3608 3.3608 4.8058
angles: 90.00 90.00 90.00
Positions (direct):
Co (0.2500, 0.2500, 0.0883)
Co (0.2500, 0.7500, 0.5000)
Co (0.7500, 0.2500, 0.5000)
Co (0.7500, 0.7500, 0.9117)
C (0.2500, 0.2500, 0.7064)
C (0.7500, 0.7500, 0.2936)

#two
Crystalline Co2C at its relaxed geometry, computed with GGA-PBE.

Results
**D(E_F)**: 2.68 states/eV/f.u.

abc: 4.9780 4.9780 4.5733
angles: 108.07 108.07 30.52
Positions (direct):
Co (0.0498, 0.0498, 0.2846)
Co (0.3082, 0.3082, 0.2384)
Co (0.6918, 0.6918, 0.7616)
Co (0.9502, 0.9502, 0.7154)
C (0.3498, 0.3498, 0.8608)
C (0.6502, 0.6502, 0.1392)

Relative energies, unit eV/atom: #one 0.000; #two 0.046

#one
Crystalline Co2C at its relaxed geometry, computed with GGA-PBE.

Results
**D(E_F)**: 2.66 states/eV/f.u.

abc: 4.5505 4.5505 4.5505
angles: 60.00 60.00 60.00
Positions (direct):
Co (0.0000, 0.0000, 0.0000)
Co (0.0000, 0.0000, 0.5000)
Co (0.0000, 0.5000, 0.0000)
Co (0.5000, 0.0000, 0.0000)
C (0.3750, 0.3750, 0.3750)
C (0.6250, 0.6250, 0.6250)

#two
Crystalline Co2C at its relaxed geometry, computed with GGA-PBE.

Results
**D(E_F)**: 3.33 states/eV/f.u.

abc: 2.7562 2.7562 3.7257
angles: 90.00 90.00 90.00
Positions (direct):
Co (0.0000, 0.0000, 0.0000)
Co (0.5000, 0.5000, 0.5000)
C (0.0000, 0.0000, 0.5000)

#three
Crystalline Co2C at its relaxed geometry, computed with GGA-PBE.

Results
**D(E_F)**: 3.56 states/eV/f.u.

abc: 3.3568 3.3568 3.3568
angles: 60.00 60.00 60.00
Positions (direct):
Co (0.2500, 0.2500, 0.2500)
Co (0.7500, 0.7500, 0.7500)
C (0.0000, 0.0000, 0.0000)

Relative energies, unit eV/atom: #one 1.698; #two 0.096; #three 0.000

#one
Crystalline Co2C at its relaxed geometry, computed with GGA-PBE.

Results
**D(E_F)**: 3.05 states/eV/f.u.

abc: 4.6000 4.6000 4.6000
angles: 149.17 149.17 44.16
Positions (direct):
Co (0.1347, 0.1347, 0.0000)
Co (0.8653, 0.8653, 0.0000)
C (0.5000, 0.5000, 0.0000)

#two
Crystalline Co2C at its relaxed geometry, computed with GGA-PBE.

Results
**D(E_F)**: 3.80 states/eV/f.u.

abc: 4.0636 4.0636 4.0636
angles: 108.57 108.57 111.28
Positions (direct):
Co (0.1853, 0.6853, 0.8706)
Co (0.3147, 0.1853, 0.5000)
Co (0.6853, 0.8147, 0.5000)
Co (0.8147, 0.3147, 0.1294)
C (0.2500, 0.2500, 0.0000)
C (0.7500, 0.7500, 0.0000)

#three
Crystalline Co2C at its relaxed geometry, computed with GGA-PBE.

Results
**D(E_F)**: 2.84 states/eV/f.u.

abc: 4.9566 4.9566 4.3150
angles: 90.00 90.00 148.24
Positions (direct):
Co (0.0545, 0.9455, 0.7500)
Co (0.2078, 0.7922, 0.2500)
Co (0.7922, 0.2078, 0.7500)
Co (0.9455, 0.0545, 0.2500)
C (0.4183, 0.5817, 0.7500)
C (0.5817, 0.4183, 0.2500)

Relative energies, unit eV/atom: #one 0.118; #two 0.000; #three 0.010

#one
Crystalline Co2C at its relaxed geometry, computed with GGA-PBE.

Results
**D(E_F)**: 3.62 states/eV/f.u.

abc: 2.8579 2.8579 4.0363
angles: 90.00 90.00 120.00
Positions (direct):
Co (0.3333, 0.6667, 0.2349)
Co (0.6667, 0.3333, 0.7651)
C (0.0000, 0.0000, 0.0000)

#two
Crystalline Co2C at its relaxed geometry, computed with GGA-PBE.

Results
**D(E_F)**: 3.77 states/eV/f.u.

abc: 4.6775 4.6775 4.3295
angles: 90.00 90.00 120.00
Positions (direct):
Co (0.0000, 0.3418, 0.2462)
Co (0.0000, 0.6582, 0.7538)
Co (0.3418, 0.0000, 0.2462)
Co (0.3418, 0.3418, 0.7538)
Co (0.6582, 0.0000, 0.7538)
Co (0.6582, 0.6582, 0.2462)
C (0.0000, 0.0000, 0.0000)
C (0.3333, 0.6667, 0.5000)
C (0.6667, 0.3333, 0.5000)

#three
Crystalline Co2C at its relaxed geometry, computed with GGA-PBE.

Results
**D(E_F)**: 2.05 states/eV/f.u.

abc: 5.1681 3.3683 5.9239
angles: 90.00 90.00 90.00
Positions (direct):
Co (0.0330, 0.2500, 0.1514)
Co (0.1333, 0.2500, 0.5842)
Co (0.3667, 0.7500, 0.0842)
Co (0.4670, 0.7500, 0.6514)
Co (0.5330, 0.2500, 0.3486)
Co (0.6333, 0.2500, 0.9158)
Co (0.8667, 0.7500, 0.4158)
Co (0.9670, 0.7500, 0.8486)
C (0.2410, 0.7500, 0.3913)
C (0.2590, 0.2500, 0.8913)
C (0.7410, 0.7500, 0.1087)
C (0.7590, 0.2500, 0.6087)

Relative energies, unit eV/atom: #one 0.137; #two 0.000; #three 0.153

#one
Crystalline Co2C at its relaxed geometry, computed with GGA-PBE.

Results
**D(E_F)**: 2.23 states/eV/f.u.

abc: 4.7858 4.7858 4.7858
angles: 31.78 31.78 31.78
Positions (direct):
Co (0.0000, 0.0000, 0.0000)
Co (0.1794, 0.1794, 0.1794)
C (0.4223, 0.4223, 0.4223)

#two
Crystalline Co2C at its relaxed geometry, computed with GGA-PBE.

Results
**D(E_F)**: 3.13 states/eV/f.u.

abc: 17.0177 17.0177 17.0177
angles: 171.40 171.40 12.17
Positions (direct):
Co (0.0991, 0.3491, 0.7500)
Co (0.2841, 0.5341, 0.7500)
Co (0.3491, 0.0991, 0.2500)
Co (0.4659, 0.7159, 0.7500)
Co (0.5341, 0.2841, 0.2500)
Co (0.6509, 0.9009, 0.7500)
Co (0.7159, 0.4659, 0.2500)
Co (0.9009, 0.6509, 0.2500)
C (0.0561, 0.8061, 0.2500)
C (0.1939, 0.9439, 0.2500)
C (0.8061, 0.0561, 0.7500)
C (0.9439, 0.1939, 0.7500)

Relative energies, unit eV/atom: #one 0.000; #two 0.091

#one
Crystalline Co2C at its relaxed geometry, computed with GGA-PBE.

Results
**D(E_F)**: 2.42 states/eV/f.u.

abc: 2.5784 2.5784 4.7824
angles: 90.00 90.00 120.00
Positions (direct):
Co (0.0000, 0.0000, 0.2411)
Co (0.0000, 0.0000, 0.7589)
C (0.3333, 0.6667, 0.5000)

#two
Crystalline Co2C at its relaxed geometry, computed with GGA-PBE.

Results
**D(E_F)**: 3.29 states/eV/f.u.

abc: 3.1297 3.1297 6.7853
angles: 90.00 90.00 120.00
Positions (direct):
Co (0.0000, 0.0000, 0.0000)
Co (0.0000, 0.0000, 0.5000)
Co (0.3333, 0.6667, 0.2500)
Co (0.6667, 0.3333, 0.7500)
C (0.3333, 0.6667, 0.7500)
C (0.6667, 0.3333, 0.2500)

Relative energies, unit eV/atom: #one 0.000; #two 0.239

#one
Crystalline CoC2 at its relaxed geometry, computed with GGA-PBE.

Results
**D(E_F)**: 1.80 states/eV/f.u.

abc: 4.1321 4.1321 5.3890
angles: 106.41 106.41 36.35
Positions (direct):
Co (0.0000, 0.0000, 0.0000)
Co (0.2266, 0.2266, 0.4693)
C (0.4685, 0.4685, 0.5008)
C (0.5341, 0.5341, 0.2826)
C (0.5900, 0.5900, 0.7692)
C (0.7720, 0.7720, 0.7632)

#two
Crystalline CoC2 at its relaxed geometry, computed with GGA-PBE.

Results
**D(E_F)**: 2.42 states/eV/f.u.

abc: 5.3533 5.3533 2.7397
angles: 90.00 90.00 120.00
Positions (direct):
Co (0.0000, 0.0000, 0.0000)
Co (0.3333, 0.6667, 0.5000)
Co (0.6667, 0.3333, 0.5000)
C (0.0000, 0.2658, 0.5000)
C (0.0000, 0.6296, 0.0000)
C (0.2658, 0.0000, 0.5000)
C (0.3704, 0.3704, 0.0000)
C (0.6296, 0.0000, 0.0000)
C (0.7342, 0.7342, 0.5000)

#three
Crystalline CoC2 at its relaxed geometry, computed with GGA-PBE.

Results
**D(E_F)**: 2.25 states/eV/f.u.

abc: 2.6827 2.6827 3.8389
angles: 90.00 90.00 120.00
Positions (direct):
Co (0.0000, 0.0000, 0.0000)
C (0.6667, 0.3333, 0.3197)
C (0.6667, 0.3333, 0.6803)

Relative energies, unit eV/atom: #one 0.000; #two 1.054; #three 0.046